# K2PtCl PBE optimized geometry
data_K2PtCl
_chemical_formula_sum 'K2 Pt1 Cl1'
_cell_length_a 5.573
_cell_length_b 5.573
_cell_length_c 5.573
_cell_angle_alpha 60.00
_cell_angle_beta 60.00
_cell_angle_gamma 60.00
_symmetry_space_group_name_H-M 'P 1'
_symmetry_Int_Tables_number 1
loop_
_symmetry_equiv_pos_as_xyz
'x,y,z'
loop_
_atom_site_label
_atom_site_fract_x
_atom_site_fract_y
_atom_site_fract_z
K1 0.250 0.250 0.250
K2 0.750 0.750 0.750
Pt1 0.000 0.000 0.000
Cl1 0.500 0.500 0.500
# Raw formation energy   -0.405 eV/atom
# Density of states at the Fermi level   7.70 states/eV/f.u.
# Final energy   -11.70 eV/cell
# Space-group type   No. 225
# Distance to the lowest polymorph of the same formula   268 meV/atom